# GGA-PBE ZnInRu2, optimized geometry
# Crystal system   trigonal
# Total moment   0.00 μB per formula unit
# Calculated formation energy   0.23 eV per atom
data_ZnInRu2
_symmetry_space_group_name_H-M 'R 3 m'
_symmetry_Int_Tables_number 160
_symmetry_space_group_name_Hall 'R 3 -2"'
_cell_length_a 2.8897
_cell_length_b 2.8897
_cell_length_c 27.0117
_cell_angle_alpha 90.00
_cell_angle_beta 90.00
_cell_angle_gamma 120.00
loop_
_atom_site_label
_atom_site_fract_x
_atom_site_fract_y
_atom_site_fract_z
_atom_site_occupancy
Zn1 0.0000 0.0000 0.0000 1
In1 0.0000 0.0000 0.7603 1
Ru1 0.0000 0.0000 0.2547 1
Ru2 0.0000 0.0000 0.5150 1